A relaxed structure of CaMgZn. Source: the Alexandria database, functional GGA-PBEsol.

Summary:
E_form   -0.135 eV/atom
SG   Pbcm, No. 57

Unit cell a=6.5732 b=7.4045 c=5.9239 alpha=90.00 beta=90.00 gamma=90.00
Fractional coordinates of all 12 atoms:
Ca  0.0999  0.0904  0.2500
Ca  0.0999  0.4096  0.7500
Ca  0.9001  0.5904  0.2500
Ca  0.9001  0.9096  0.7500
Mg  0.4171  0.0531  0.7500
Mg  0.4171  0.4469  0.2500
Mg  0.5829  0.5531  0.7500
Mg  0.5829  0.9469  0.2500
Zn  0.2814  0.7500  0.0000
Zn  0.2814  0.7500  0.5000
Zn  0.7186  0.2500  0.0000
Zn  0.7186  0.2500  0.5000